1.
Ce2Ga6AgAu: relaxed, PBE.

Structure (POSCAR):
```
Ce2Ga6AgAu
1.0
3.200 1.848 12.294
-3.200 1.848 12.294
0.000 -3.696 12.294
Ce Ga Ag Au
4 12 2 2
Cartesian
0.000 0.000 4.105 Ce
0.000 0.000 10.699 Ce
0.000 0.000 26.184 Ce
0.000 0.000 32.778 Ce
-1.946 -1.124 17.081 Ga
0.000 -1.547 13.639 Ga
-1.340 0.774 13.639 Ga
0.000 -2.247 19.802 Ga
-1.946 1.124 19.802 Ga
-1.340 -0.774 23.244 Ga
1.340 0.774 13.639 Ga
1.946 -1.124 17.081 Ga
0.000 2.247 17.081 Ga
1.340 -0.774 23.244 Ga
0.000 1.547 23.244 Ga
1.946 1.124 19.802 Ga
0.000 0.000 0.000 Ag
0.000 0.000 18.442 Ag
0.000 0.000 15.747 Au
0.000 0.000 21.137 Au
```

## Properties
Formation energy = -250 meV/atom
Size of the total moment = 4.414 Bohr magnetons per cell
Total energy = -3.866 eV/atom

2.
Pm5InRu2: relaxed, PBE.

Structure (POSCAR):
```
Pm5InRu2
1.0
-3.971 3.971 6.952
3.971 -3.971 6.952
3.971 3.971 -6.952
Pm In Ru
10 2 4
Cartesian
0.000 0.000 0.000 Pm
5.240 1.270 -1.838 Pm
1.270 2.701 -1.838 Pm
5.240 1.270 1.838 Pm
1.270 2.701 1.838 Pm
0.000 0.000 6.952 Pm
2.701 1.270 5.114 Pm
-1.270 2.701 5.114 Pm
2.701 1.270 8.790 Pm
-1.270 2.701 8.790 Pm
0.000 0.000 3.476 In
0.000 0.000 10.428 In
2.839 1.132 0.000 Ru
2.839 -1.132 6.952 Ru
1.132 5.102 0.000 Ru
1.132 2.839 6.952 Ru
```

## Properties
Formation energy = -314 meV/atom
Size of the total moment = 0.000 Bohr magnetons per cell
Total energy = -5.945 eV/atom